[1]
# CaMg2Rh

CaMg2Rh after structural relaxation (PBEsol, Alexandria).

Cell lengths 11.395, 3.293, 4.987 Å; angles 90.00, 115.10, 90.00 degrees
Space group Cm (No. 8)
Inequivalent atoms, fractional coordinates:
Ca (0.000, 0.000, 0.000)
Mg (0.201, 0.000, 0.696)
Mg (0.405, 0.000, 0.406)
Rh (0.215, 0.500, 0.203)

Summary:
For the density of states at the Fermi level, the calculation gives 3.67 states/eV per cell. As for the theoretical density: 3.8 Mg/m³. The formation energy is -0.12 eV/atom.

[2]
# CaMg2Rh

CaMg2Rh after structural relaxation (PBEsol, Alexandria).

Cell lengths 4.275, 4.275, 8.556 Å; angles 90.00, 90.00, 90.00 degrees
Space group I4/mmm (No. 139)
Inequivalent atoms, fractional coordinates:
Ca (0.000, 0.000, 0.000)
Mg (0.000, 0.500, 0.250)
Rh (0.000, 0.000, 0.500)

Summary:
For the density of states at the Fermi level, the calculation gives 3.19 states/eV per cell. As for the theoretical density: 4.1 Mg/m³. The formation energy is -0.18 eV/atom.

[3]
# CaMgRh

CaMgRh after structural relaxation (PBEsol, Alexandria).

Cell lengths 6.566, 6.566, 6.566 Å; angles 90.00, 90.00, 90.00 degrees
Space group F-43m (No. 216)
Inequivalent atoms, fractional coordinates:
Ca (0.000, 0.000, 0.000)
Mg (0.250, 0.250, 0.750)
Rh (0.250, 0.250, 0.250)

Summary:
For the density of states at the Fermi level, the calculation gives 8.49 states/eV per cell. As for the theoretical density: 3.9 Mg/m³. The formation energy is 0.55 eV/atom.